Material: NpNi
Method: DFT, PBE
State: relaxed

## Properties
Theoretical density   10.251 g cm⁻³
Energy relative to the elements   0.68 eV per atom
Volume   95.8 Å³ per cell

a b c (Å): 4.5518 4.5518 5.3391
angles (deg): 90.00 90.00 120.00
With the nearest neighbours (Å) after each atom.
Fractional positions:
Np  0.3333  0.6667  0.2500  5 Ni 2.63-2.67
Np  0.6667  0.3333  0.7500  5 Ni 2.63-2.67
Ni  0.3333  0.6667  0.7500  5 Np 2.63-2.67
Ni  0.6667  0.3333  0.2500  5 Np 2.63-2.67